# Mg2Tl2Mo3O12

A geometry-optimized Mg2Tl2Mo3O12 structure (GGA+U, the Alexandria database).

Computed properties:
Crystal system: cubic
Total DFT energy (no corrections): -122.7 eV/f.u.
V: 332.1 Å³/f.u.

```
data_Mg2Tl2Mo3O12
_chemical_formula_sum 'Mg8 Tl8 Mo12 O48'
_cell_length_a 10.992
_cell_length_b 10.992
_cell_length_c 10.992
_cell_angle_alpha 90.00
_cell_angle_beta 90.00
_cell_angle_gamma 90.00
_symmetry_space_group_name_H-M 'P 21 3'
_symmetry_Int_Tables_number 198
_symmetry_space_group_name_Hall 'P 2ac 2ab 3'
loop_
_atom_site_label
_atom_site_type_symbol
_atom_site_fract_x
_atom_site_fract_y
_atom_site_fract_z
Mg1 Mg 0.115 0.385 0.615
Mg2 Mg 0.161 0.161 0.161
Tl1 Tl 0.060 0.560 0.940
Tl2 Tl 0.166 0.834 0.334
Mo1 Mo 0.028 0.703 0.622
O1 O 0.023 0.045 0.219
O2 O 0.027 0.547 0.676
O3 O 0.054 0.295 0.771
O4 O 0.103 0.319 0.246
```